An optimized crystal structure of CdTe2O4. Source: the Open Quantum Materials Database, functional PBE-GGA.

a = 6.898 Å, b = 6.898 Å, c = 6.898 Å
α = 60.00°, β = 60.00°, γ = 60.00°
Atoms (fractional coordinates):
1 Cd 0.125 0.125 0.125
2 Cd 0.875 0.875 0.875
3 Te 0.000 0.500 0.500
4 Te 0.500 0.000 0.500
5 Te 0.500 0.500 0.000
6 Te 0.500 0.500 0.500
7 O 0.265 0.265 0.265
8 O 0.265 0.265 0.705
9 O 0.265 0.705 0.265
10 O 0.295 0.735 0.735
11 O 0.705 0.265 0.265
12 O 0.735 0.295 0.735
13 O 0.735 0.735 0.295
14 O 0.735 0.735 0.735

final energy	-4.4135	eV per atom